{"formula": "NpInI6", "functional": "PBE-GGA", "state": "relaxed", "e_above_lowest_polymorph_mev_per_atom": 0, "magmom_total_mub_per_cell": 7.5, "lattice": [[7.550, 0.000, 0.000], [0.000, 13.898, 0.000], [-2.353, 0.000, 7.178]], "species": ["Np", "Np", "In", "In", "I", "I", "I", "I", "I", "I", "I", "I", "I", "I", "I", "I"], "frac_coords": [[0.000, 0.000, 0.000], [0.500, 0.500, 0.000], [0.000, 0.500, 0.500], [0.500, 0.000, 0.500], [0.246, 0.000, 0.755], [0.247, 0.350, 0.746], [0.247, 0.650, 0.746], [0.253, 0.150, 0.254], [0.253, 0.850, 0.254], [0.254, 0.500, 0.245], [0.746, 0.500, 0.755], [0.747, 0.150, 0.746], [0.747, 0.850, 0.746], [0.753, 0.350, 0.254], [0.753, 0.650, 0.254], [0.754, 0.000, 0.245]]}